[1]
Entry from the Alexandria database: crystalline Tb2Dy8Hg at its relaxed geometry (GGA-PBE).

Summary:
Formation energy ... 0.01 eV per atom
Calculated volume ... 348 Å³/f.u.
Fermi-level density of states ... 1.65 states/eV per atom
Symmetry ... Immm (71)
Size of the total moment ... 0.00 μB/f.u.
VASP energy ... -0.1546 hartree per atom
Crystal system ... orthorhombic

The structure in extended XYZ format:
```
11
Lattice="-3.6603 4.0115 0.4324 -1.1507 -1.8165 7.1106 8.6346 4.3268 -1.3727" Properties=species:S:1:pos:R:3 pbc="T T T"
Dy 2.2999 2.0029 0.8880
Dy 4.2767 3.5317 3.4290
Dy -0.9930 2.1353 6.1022
Dy -0.4531 2.9902 2.7414
Dy 4.6806 7.8755 0.8681
Dy 4.8166 4.3866 0.0681
Dy 1.5238 4.5190 5.2824
Dy -0.8570 -1.3536 5.3023
Hg -1.8301 2.0058 0.2162
Tb 2.0034 5.3443 1.6933
Tb 1.8202 1.1776 4.4771
```

=====

[2]
Entry from the Alexandria database: crystalline In2MoRh at its relaxed geometry (GGA-PBE).

Summary:
Formation energy ... 0.09 eV per atom
Calculated volume ... 71 Å³/f.u.
Fermi-level density of states ... 0.88 states/eV per atom
Symmetry ... P4/mmm (123)
Size of the total moment ... 0.00 μB/f.u.
VASP energy ... -0.2139 hartree per atom
Crystal system ... tetragonal

The structure in extended XYZ format:
```
4
Lattice="4.7749 0.0000 0.0000 0.0000 4.7734 0.0000 0.0000 0.0000 3.1026" Properties=species:S:1:pos:R:3 pbc="T T T"
Rh 0.0000 2.3867 1.5513
In 0.0000 0.0000 0.0000
In 2.3875 2.3867 0.0000
Mo 2.3875 0.0000 1.5513
```

=====

[3]
Entry from the Alexandria database: crystalline DyTm3Te6 at its relaxed geometry (GGA-PBE).

Summary:
Calculated volume ... 319 Å³/f.u.
Symmetry ... P2_1/m (11)
Size of the total moment ... 0.00 μB/f.u.
Raw formation energy ... -1.341 eV/atom
VASP energy ... -0.1848 hartree per atom
Crystal system ... monoclinic

The structure in extended XYZ format:
```
20
Lattice="4.3132 0.0000 0.0000 0.0000 11.6904 -4.0801 0.0000 -0.0447 12.6833" Properties=species:S:1:pos:R:3 pbc="T T T"
Te 3.2349 8.7155 0.4973
Te 3.2349 9.4059 6.2131
Te 1.0783 2.2397 2.3901
Te 1.0783 10.3660 3.1282
Te 1.0783 7.0593 9.4249
Te 3.2349 5.6063 5.8643
Te 3.2349 10.7142 -2.4772
Te 1.0783 2.9301 8.1059
Te 3.2349 4.5863 -0.8218
Te 1.0783 6.0393 2.7388
Te 1.0783 0.9314 11.0803
Te 3.2349 1.2796 5.4749
Dy 1.0783 11.1516 -0.0307
Dy 3.2349 0.4940 8.6338
Tm 1.0783 9.8265 8.2177
Tm 3.2349 5.0142 8.8182
Tm 1.0783 6.6314 -0.2150
Tm 1.0783 3.6703 5.0297
Tm 3.2349 1.8191 0.3854
Tm 3.2349 7.9753 3.5734
```

=====

[4]
Entry from the Alexandria database: crystalline Mn5Be2GaRe2 at its relaxed geometry (GGA-PBE).

Summary:
Formation energy ... 0.03 eV per atom
Calculated volume ... 113 Å³/f.u.
Fermi-level density of states ... 0.75 states/eV per atom
Symmetry ... P4/mbm (127)
Size of the total moment ... 5.30 μB/f.u.
VASP energy ... -0.2975 hartree per atom
Crystal system ... tetragonal

The structure in extended XYZ format:
```
20
Lattice="-2.4924 -1.0159 -1.3072 -2.9881 -2.6206 7.7340 -3.7708 7.7477 1.1684" Properties=species:S:1:pos:R:3 pbc="T T T"
Mn -2.7402 -1.8183 3.2134
Mn -4.8383 -1.3159 6.8232
Mn -5.6197 3.5262 4.5499
Mn -3.1316 3.3659 -0.0694
Mn -4.4130 5.4270 0.7720
Mn -7.1259 4.6687 6.5338
Mn -3.6316 0.5849 3.0452
Mn -4.2386 3.1165 2.2351
Mn -5.0127 0.9946 5.3601
Mn -2.1254 -0.5576 1.0614
Re -1.7487 2.0635 1.7306
Re -2.6742 -0.4151 5.4214
Re -5.0102 3.0635 7.1718
Re -4.0847 5.5421 3.4810
Be -2.7217 4.5082 1.6857
Be -4.0372 0.6188 7.2166
Be -5.1680 5.1544 5.8478
Be -1.5909 -0.0274 3.0546
Ga 0.0000 0.0000 0.0000
Ga -3.3795 2.5635 4.4512
```

=====

[5]
Entry from the Alexandria database: crystalline OsBr2Cl at its relaxed geometry (GGA-PBE).

Summary:
Calculated volume ... 89 Å³/f.u.
Fermi-level density of states ... 0.72 states/eV per atom
Symmetry ... R-3m (166)
Size of the total moment ... 0.00 μB/f.u.
Raw formation energy ... 0.597 eV/atom
VASP energy ... -0.1289 hartree per atom
Crystal system ... trigonal

The structure in extended XYZ format:
```
4
Lattice="1.7266 0.0000 11.4556 -0.8633 1.4953 11.4556 -0.8633 -1.4953 11.4556" Properties=species:S:1:pos:R:3 pbc="T T T"
Br 0.0000 0.0000 31.9945
Br 0.0000 0.0000 2.3723
Cl 0.0000 0.0000 17.1834
Os 0.0000 0.0000 0.0000
```

=====

[6]
Entry from the Alexandria database: crystalline Zn2NiRu at its relaxed geometry (GGA-PBE).

Summary:
Formation energy ... 0.01 eV per atom
Calculated volume ... 53 Å³/f.u.
Fermi-level density of states ... 1.02 states/eV per atom
Symmetry ... Pmm2 (25)
Size of the total moment ... 0.00 μB/f.u.
VASP energy ... -0.1614 hartree per atom
Crystal system ... orthorhombic

The structure in extended XYZ format:
```
4
Lattice="-1.6185 -2.7984 1.9399 1.7019 -1.7050 -1.0398 5.0533 -0.8270 3.0231" Properties=species:S:1:pos:R:3 pbc="T T T"
Zn 5.0415 -0.8314 3.0068
Zn 0.9144 -2.0225 1.5088
Ni 3.3674 -1.2669 0.9819
Ru 4.2442 -3.3026 2.4402
```